Entry 1:
Compound: NaCaN2O
Source: Alexandria via LeMat-Bulk
Functional: PBE
Structure: optimized geometry

formation energy without anion corrections = 1.265 eV per atom

Cell: 4.5171 8.4849 4.5171 Å, 90.00 90.00 90.00°
Closest atoms and distances in Å follow each position.
Fractional positions:
Na 0.0000 0.5000 0.0000  4 O 3.19
Ca 0.0000 0.0000 0.0000  4 N 2.26
N 0.5000 0.0000 0.0000  2 Ca 2.26
N 0.0000 0.0000 0.5000  2 Ca 2.26
O 0.5000 0.5000 0.5000  4 Na 3.19



Entry 2:
Compound: Nd2Y2Ga4Cu
Source: Alexandria via LeMat-Bulk
Functional: PBE
Structure: optimized geometry

energy relative to the elements = -272 kJ/mol of formula units

Cell: 6.6071 6.6071 6.6071 Å, 98.32 115.32 115.32°
Closest atoms and distances in Å follow each position.
Fractional positions:
Y 0.5000 0.2500 0.7500  8 Ga 3.31, 4 Nd 3.57
Y 0.5000 0.7500 0.2500  8 Ga 3.31, 4 Nd 3.57
Nd 0.0000 0.6884 0.6884  1 Cu 2.69
Nd 0.0000 0.3116 0.3116  1 Cu 2.69
Ga 0.0000 0.7645 0.2355  1 Cu 2.35
Ga 0.5289 0.7645 0.7645  1 Cu 2.35
Ga 0.0000 0.2355 0.7645  1 Cu 2.35
Ga 0.4711 0.2355 0.2355  1 Cu 2.35
Cu 0.0000 0.0000 0.0000  4 Ga 2.35



Entry 3:
Compound: Sc5C3
Source: Alexandria via LeMat-Bulk
Functional: PBE
Structure: optimized geometry

E above lowest polymorph = 0.318 eV per atom
energy relative to the elements = 23 kJ/mol of formula units

Cell: 6.0350 6.0350 3.5354 Å, 90.00 90.00 114.36°
Closest atoms and distances in Å follow each position.
Fractional positions:
C 0.8383 0.1617 0.5000  8 Sc 2.41-2.57
C 0.5000 0.5000 0.0000  4 Sc 2.22
C 0.1617 0.8383 0.5000  8 Sc 2.41-2.57
Sc 0.7054 0.7054 0.5000  2 C 2.22
Sc 0.0000 0.0000 0.0000  4 C 2.41, 4 Sc 2.62
Sc 0.5000 0.0000 0.0000  4 C 2.57
Sc 0.0000 0.5000 0.0000  4 C 2.57
Sc 0.2946 0.2946 0.5000  2 C 2.22



Entry 4:
Compound: ErU2S5
Source: Alexandria via LeMat-Bulk
Functional: PBE
Structure: optimized geometry

formation energy without anion corrections = -1.598 eV per atom

Cell: 7.3411 7.8162 11.7255 Å, 90.00 90.00 90.00°
Closest atoms and distances in Å follow each position.
Fractional positions:
S 0.5352 0.7500 0.9987  1 Er 2.85, 4 U 2.89-2.90, 1 S 3.17
S 0.8377 0.4587 0.8964  2 Er 2.63-2.72, 2 U 2.76-2.77
S 0.4648 0.2500 0.0013  1 Er 2.85, 4 U 2.89-2.90, 1 S 3.17
S 0.6623 0.0413 0.3964  2 Er 2.63-2.72, 2 U 2.76-2.77
S 0.6763 0.2500 0.6854  1 Er 2.81, 4 U 2.88-2.99
S 0.1763 0.7500 0.8146  1 Er 2.81, 4 U 2.88-2.99
S 0.7969 0.7500 0.2140  1 Er 2.74, 4 U 2.81-2.88
S 0.3237 0.7500 0.3146  1 Er 2.81, 4 U 2.88-2.99
S 0.6623 0.4587 0.3964  2 Er 2.63-2.72, 2 U 2.76-2.77
S 0.2031 0.2500 0.7860  1 Er 2.74, 4 U 2.81-2.88
S 0.0352 0.2500 0.5013  1 Er 2.85, 4 U 2.89-2.90, 1 S 3.17
S 0.8377 0.0413 0.8964  2 Er 2.63-2.72, 2 U 2.76-2.77
S 0.2969 0.2500 0.2860  1 Er 2.74, 4 U 2.81-2.88
S 0.1623 0.5413 0.1036  2 Er 2.63-2.72, 2 U 2.76-2.77
S 0.7031 0.7500 0.7140  1 Er 2.74, 4 U 2.81-2.88
S 0.3377 0.5413 0.6036  2 Er 2.63-2.72, 2 U 2.76-2.77
S 0.3377 0.9587 0.6036  2 Er 2.63-2.72, 2 U 2.76-2.77
S 0.9648 0.7500 0.4987  1 Er 2.85, 4 U 2.89-2.90, 1 S 3.17
S 0.1623 0.9587 0.1036  2 Er 2.63-2.72, 2 U 2.76-2.77
S 0.8237 0.2500 0.1854  1 Er 2.81, 4 U 2.88-2.99
U 0.9859 0.4992 0.6805  8 S 2.76-2.99
U 0.0141 0.5008 0.3195  8 S 2.76-2.99
U 0.0141 0.9992 0.3195  8 S 2.76-2.99
U 0.9859 0.0008 0.6805  8 S 2.76-2.99
U 0.4859 0.5008 0.8195  8 S 2.76-2.99
U 0.5141 0.0008 0.1805  8 S 2.76-2.99
U 0.5141 0.4992 0.1805  8 S 2.76-2.99
U 0.4859 0.9992 0.8195  8 S 2.76-2.99
Er 0.0764 0.2500 0.0057  7 S 2.63-2.85
Er 0.4236 0.2500 0.5057  7 S 2.63-2.85
Er 0.5764 0.7500 0.4943  7 S 2.63-2.85
Er 0.9236 0.7500 0.9943  7 S 2.63-2.85



Entry 5:
Compound: Np2Al8Ni
Source: Alexandria via LeMat-Bulk
Functional: PBE
Structure: optimized geometry

energy relative to the elements = -240 kJ/mol of formula units

Cell: 4.2232 4.2232 11.1483 Å, 90.00 90.00 90.00°
Closest atoms and distances in Å follow each position.
Fractional positions:
Al 0.5000 0.0000 0.5000  8 Al 2.99-3.03, 4 Np 3.01
Al 0.0000 0.5000 0.5000  8 Al 2.99-3.03, 4 Np 3.01
Al 0.5000 0.0000 0.8796  2 Ni 2.50, 1 Al 2.68
Al 0.5000 0.5000 0.6948  8 Al 2.95-3.03, 4 Np 2.99
Al 0.0000 0.5000 0.1204  2 Ni 2.50, 1 Al 2.68
Al 0.0000 0.5000 0.8796  2 Ni 2.50, 1 Al 2.68
Al 0.5000 0.5000 0.3052  8 Al 2.95-3.03, 4 Np 2.99
Al 0.5000 0.0000 0.1204  2 Ni 2.50, 1 Al 2.68
Ni 0.0000 0.0000 0.0000  8 Al 2.50
Np 0.0000 0.0000 0.3078  12 Al 2.97-3.01
Np 0.0000 0.0000 0.6922  12 Al 2.97-3.01



Entry 6:
Compound: Ba6Gd2Al4O15
Source: Alexandria via LeMat-Bulk
Functional: PBE
Structure: optimized geometry

formation energy without anion corrections = -3.003 eV per atom

Cell: 5.9934 7.9717 18.6111 Å, 91.53 90.00 90.00°
Closest atoms and distances in Å follow each position.
Fractional positions:
Ba 0.7283 0.0000 0.2500  7 O 2.72-2.99
Ba 0.3255 0.5000 0.7500  8 O 2.80-2.97
Ba 0.2519 0.0305 0.0907  8 O 2.76-3.09
Ba 0.7561 0.4982 0.5833  2 O 2.53-2.81
Ba 0.7481 0.0305 0.5907  8 O 2.76-3.09
Ba 0.2519 0.9695 0.4093  8 O 2.76-3.09
Ba 0.2439 0.4982 0.0833  2 O 2.53-2.81
Ba 0.2717 0.0000 0.7500  7 O 2.72-2.99
Ba 0.7481 0.9695 0.9093  8 O 2.76-3.09
Ba 0.2439 0.5018 0.4167  2 O 2.53-2.81
Ba 0.6745 0.5000 0.2500  8 O 2.80-2.97
Ba 0.7561 0.5018 0.9167  2 O 2.53-2.81
O 0.4972 0.7638 0.4965  1 Al 1.79
O 0.4972 0.2362 0.0035  1 Al 1.79
O 0.3201 0.3073 0.1871  1 Al 1.75
O 0.2088 0.0000 0.2500  2 Al 1.78
O 0.7557 0.5412 0.4071  1 Al 1.80
O 0.2369 0.0588 0.6071  1 Al 1.80
O 0.5529 0.7549 0.6664  1 Al 1.80
O 0.0199 0.7639 0.0048  1 Al 1.81
O 0.2443 0.4588 0.5929  1 Al 1.80
O 0.7557 0.4588 0.0929  1 Al 1.80
O 0.5028 0.7638 0.9965  1 Al 1.79
O 0.6799 0.6927 0.8129  1 Al 1.75
O 0.0282 0.7289 0.6909  1 Al 1.78
O 0.9801 0.7639 0.5048  1 Al 1.81
O 0.2443 0.5412 0.9071  1 Al 1.80
O 0.4471 0.2451 0.3336  1 Al 1.80
O 0.4471 0.7549 0.1664  1 Al 1.80
O 0.0199 0.2361 0.4952  1 Al 1.81
O 0.9718 0.7289 0.1909  1 Al 1.78
O 0.7912 0.0000 0.7500  2 Al 1.78
O 0.7631 0.9412 0.3929  1 Al 1.80
O 0.9718 0.2711 0.3091  1 Al 1.78
O 0.9801 0.2361 0.9952  1 Al 1.81
O 0.5028 0.2362 0.5035  1 Al 1.79
O 0.6799 0.3073 0.6871  1 Al 1.75
O 0.0282 0.2711 0.8091  1 Al 1.78
O 0.5529 0.2451 0.8336  1 Al 1.80
O 0.3201 0.6927 0.3129  1 Al 1.75
O 0.7631 0.0588 0.1071  1 Al 1.80
O 0.2369 0.9412 0.8929  1 Al 1.80
Al 0.2304 0.2203 0.2672  4 O 1.75-1.80
Al 0.7470 0.7521 0.4434  4 O 1.79-1.81
Al 0.7470 0.2479 0.0566  4 O 1.79-1.81
Al 0.2530 0.7521 0.9434  4 O 1.79-1.81
Al 0.7696 0.2203 0.7672  4 O 1.75-1.80
Al 0.2304 0.7797 0.2328  4 O 1.75-1.80
Al 0.2530 0.2479 0.5566  4 O 1.79-1.81
Al 0.7696 0.7797 0.7328  4 O 1.75-1.80
Gd 0.7489 0.2475 0.4106  6 O 2.27-2.46
Gd 0.7489 0.7525 0.0894  6 O 2.27-2.46
Gd 0.2511 0.7525 0.5894  6 O 2.27-2.46
Gd 0.2511 0.2475 0.9106  6 O 2.27-2.46



Entry 7:
Compound: Ce5PuRu2
Source: Alexandria via LeMat-Bulk
Functional: PBE
Structure: optimized geometry

energy relative to the elements = -110 kJ/mol of formula units

Cell: 7.9423 10.5101 6.0302 Å, 124.87 90.00 112.20°
Closest atoms and distances in Å follow each position.
Fractional positions:
Ce 0.3594 0.0000 0.2500  8 Ce 3.22-3.51, 2 Pu 3.23, 4 Ru 3.37
Ce 0.8454 0.2105 0.4595  2 Ru 2.70, 2 Pu 3.02
Ce 0.9696 0.6398 0.8908  4 Ru 2.84-3.17
Ce 0.1546 0.7895 0.5405  2 Ru 2.70, 2 Pu 3.02
Ce 0.3651 0.2105 0.9595  2 Ru 2.70, 2 Pu 3.02
Ce 0.6406 0.0000 0.7500  8 Ce 3.22-3.51, 2 Pu 3.23, 4 Ru 3.37
Ce 0.0304 0.3602 0.1092  4 Ru 2.84-3.17
Ce 0.3298 0.3602 0.6092  4 Ru 2.84-3.17
Ce 0.6349 0.7895 0.0405  2 Ru 2.70, 2 Pu 3.02
Ce 0.6702 0.6398 0.3908  4 Ru 2.84-3.17
Pu 0.0000 0.0000 0.0000  2 Pu 3.01-3.02, 10 Ce 3.02-3.36
Pu 0.0000 0.0000 0.5000  2 Pu 3.01-3.02, 10 Ce 3.02-3.36
Ru 0.6828 0.3652 0.8639  4 Ce 2.70-2.86, 2 Ru 3.02
Ru 0.6824 0.3652 0.3639  4 Ce 2.70-2.86, 2 Ru 3.02
Ru 0.3172 0.6348 0.1361  4 Ce 2.70-2.86, 2 Ru 3.02
Ru 0.3176 0.6348 0.6361  4 Ce 2.70-2.86, 2 Ru 3.02



Entry 8:
Compound: MgTi4Cu3O12
Source: Alexandria via LeMat-Bulk
Functional: PBE
Structure: optimized geometry

E above lowest polymorph = 0.000 eV per atom
formation energy without anion corrections = -2.170 eV per atom

Cell: 6.4174 6.4174 7.4813 Å, 54.98 54.98 70.62°
Closest atoms and distances in Å follow each position.
Fractional positions:
O 0.5232 0.8696 0.3057  2 Ti 1.93-2.11, 1 Cu 1.97
O 0.8066 0.8066 0.8846  2 Ti 1.96, 1 Cu 1.98
O 0.6900 0.2842 0.1914  2 Ti 1.94-2.08, 1 Cu 1.99
O 0.1578 0.1578 0.1380  1 Cu 2.00, 2 Ti 2.00
O 0.8060 0.8060 0.4993  1 Cu 1.95, 2 Ti 2.03, 1 Mg 2.05
O 0.6824 0.2939 0.8373  2 Ti 1.90-2.01, 1 Cu 1.97
O 0.4769 0.1220 0.7034  2 Ti 1.87-2.06, 1 Cu 1.97
O 0.8696 0.5232 0.3057  2 Ti 1.93-2.11, 1 Cu 1.97
O 0.1648 0.1648 0.5263  2 Ti 1.93, 1 Cu 1.95
O 0.2939 0.6824 0.8373  2 Ti 1.90-2.01, 1 Cu 1.97
O 0.1220 0.4769 0.7034  2 Ti 1.87-2.06, 1 Cu 1.97
O 0.2842 0.6900 0.1914  2 Ti 1.94-2.08, 1 Cu 1.99
Ti 0.4891 0.9770 0.0245  6 O 1.93-2.06
Ti 0.4678 0.9872 0.5427  5 O 1.87-2.08
Ti 0.9872 0.4678 0.5427  5 O 1.87-2.08
Ti 0.9770 0.4891 0.0245  6 O 1.93-2.06
Cu 0.4852 0.4852 0.0202  4 O 1.97-1.99
Cu 0.4956 0.4956 0.5105  4 O 1.97
Cu 0.9856 0.9856 0.5123  4 O 1.95-2.00
Mg 0.9433 0.9433 0.1261  3 O 2.05-2.29



Entry 9:
Compound: Ba2AlIr
Source: Alexandria via LeMat-Bulk
Functional: PBE
Structure: optimized geometry

energy relative to the elements = 60 kJ/mol of formula units

Cell: 3.7365 4.1275 9.0287 Å, 62.80 90.00 90.00°
Closest atoms and distances in Å follow each position.
Fractional positions:
Ba 0.0000 0.9694 0.0307  4 Ir 3.29, 1 Ba 3.52, 4 Al 3.58
Ba 0.0000 0.5306 0.4693  4 Ir 3.29, 1 Ba 3.52, 4 Al 3.58
Al 0.5000 0.7500 0.7500  8 Ba 3.58, 2 Al 3.74
Ir 0.5000 0.2500 0.2500  8 Ba 3.29



Number 1: final energy -3.7210 eV per atom, total magnetic moment 5.0 μB/cell, calculated volume 34.6 A^3/atom. Number 2: final energy -4.6099 eV per atom, total magnetic moment 0.4 μB/cell, calculated volume 24.0 A^3/atom. Number 3: final energy -7.3866 eV per atom, total magnetic moment 0.0 μB/cell, calculated volume 14.7 A^3/atom. Number 4: final energy -7.5699 eV per atom, total magnetic moment 20.0 μB/cell, calculated volume 21.0 A^3/atom. Number 5: final energy -5.8264 eV per atom, total magnetic moment 7.9 μB/cell, calculated volume 18.1 A^3/atom. Number 6: final energy -7.7821 eV per atom, total magnetic moment 27.7 μB/cell, calculated volume 16.5 A^3/atom. Number 7: final energy -7.9618 eV per atom, total magnetic moment 7.6 μB/cell, calculated volume 22.9 A^3/atom. Number 8: final energy -7.4181 eV per atom, total magnetic moment 3.0 μB/cell, calculated volume 10.3 A^3/atom. Number 9: final energy -3.9568 eV per atom, total magnetic moment 0.0 μB/cell, calculated volume 31.0 A^3/atom.